(1)
The following is a DFT calculation (PBE-GGA) of an optimized crystal structure of SrGaCu2Pd.

```
SrGaCu2Pd
1.0
-2.191 2.203 5.005
2.191 -2.203 5.005
2.191 2.203 -5.005
Sr Ga Cu Pd
1 1 2 1
direct
0.000 0.000 0.000 Sr
0.369 0.369 0.000 Ga
0.616 0.616 0.000 Cu
0.749 0.249 0.500 Cu
0.247 0.747 0.500 Pd
```

Summary:
Formation energy from the elements in eV per atom: -0.317
Space-group type: Imm2
V in Å³ per cell: 97



(2)
The following is a DFT calculation (PBE-GGA) of an optimized crystal structure of SrGa4CuPd2.

```
SrGa4CuPd2
1.0
2.161 1.248 9.309
-2.161 1.248 9.309
0.000 -2.495 9.309
Sr Ga Cu Pd
1 4 1 2
direct
0.000 0.000 0.000 Sr
0.133 0.133 0.133 Ga
0.407 0.407 0.407 Ga
0.593 0.593 0.593 Ga
0.867 0.867 0.867 Ga
0.500 0.500 0.500 Cu
0.230 0.230 0.230 Pd
0.770 0.770 0.770 Pd
```

Summary:
Formation energy from the elements in eV per atom: -0.468
Space-group type: R-3m
V in Å³ per cell: 151



(3)
The following is a DFT calculation (PBE-GGA) of an optimized crystal structure of SrGa2CuPd2.

```
SrGa2CuPd2
1.0
4.590 0.000 0.000
0.000 4.590 0.000
0.000 0.000 5.758
Sr Ga Cu Pd
1 2 1 2
direct
0.000 0.000 0.000 Sr
0.000 0.500 0.500 Ga
0.500 0.000 0.500 Ga
0.000 0.000 0.500 Cu
0.500 0.500 0.250 Pd
0.500 0.500 0.750 Pd
```

Summary:
Formation energy from the elements in eV per atom: -0.314
Space-group type: P4/mmm
V in Å³ per cell: 121



(4)
The following is a DFT calculation (PBE-GGA) of an optimized crystal structure of Sr2Ga4Cu3Pd.

```
Sr2Ga4Cu3Pd
1.0
4.306 0.000 0.000
0.000 4.306 0.000
0.000 0.000 10.600
Sr Ga Cu Pd
2 4 3 1
direct
0.000 0.500 0.248 Sr
0.500 0.000 0.752 Sr
0.000 0.000 0.000 Ga
0.000 0.500 0.627 Ga
0.500 0.000 0.373 Ga
0.500 0.500 0.000 Ga
0.000 0.500 0.869 Cu
0.500 0.000 0.131 Cu
0.500 0.500 0.500 Cu
0.000 0.000 0.500 Pd
```

Summary:
Formation energy from the elements in eV per atom: -0.395
Space-group type: P-4m2
V in Å³ per cell: 197